# MgSb2TeBr PBE-GGA optimized geometry
# Polymorph energy (0 for the lowest one), meV/atom: 383.0
# ΔE_f (raw), eV per atom: 0.75
data_MgSb2TeBr
_cell_length_a 5.4763
_cell_length_b 5.4763
_cell_length_c 5.8043
_cell_angle_alpha 90.00
_cell_angle_beta 90.00
_cell_angle_gamma 90.00
_space_group_name_H-M_alt 'P 4/m m m'
_space_group_IT_number 123
_space_group_name_Hall '-P 4 2'
loop_
_atom_site_label
_atom_site_type_symbol
_atom_site_fract_x
_atom_site_fract_y
_atom_site_fract_z
Mg1 Mg 0.0000 0.0000 0.0000
Sb1 Sb 0.0000 0.5000 0.5000
Te1 Te 0.5000 0.5000 0.0000
Br1 Br 0.5000 0.5000 0.5000

***

# ScFe2Ir PBE-GGA optimized geometry
# Calculated formation energy, eV/atom: -0.186
data_ScFe2Ir
_cell_length_a 4.2655
_cell_length_b 4.2655
_cell_length_c 3.1231
_cell_angle_alpha 90.00
_cell_angle_beta 90.00
_cell_angle_gamma 90.00
_space_group_name_H-M_alt 'P 4/m m m'
_space_group_IT_number 123
_space_group_name_Hall '-P 4 2'
loop_
_atom_site_label
_atom_site_type_symbol
_atom_site_fract_x
_atom_site_fract_y
_atom_site_fract_z
Sc1 Sc 0.0000 0.0000 0.0000
Fe1 Fe 0.0000 0.5000 0.5000
Ir1 Ir 0.5000 0.5000 0.0000

***

# LaY3Ru PBE-GGA optimized geometry
# Polymorph energy (0 for the lowest one), meV/atom: 36.2
# Calculated formation energy, eV/atom: -0.150
data_LaY3Ru
_cell_length_a 9.2670
_cell_length_b 6.7566
_cell_length_c 11.5514
_cell_angle_alpha 90.00
_cell_angle_beta 122.67
_cell_angle_gamma 90.00
_space_group_name_H-M_alt 'P 1 21/c 1'
_space_group_IT_number 14
loop_
_space_group_symop_operation_xyz
'x,y,z'
'-x,-y,-z'
'-x,y+1/2,-z+1/2'
'x,-y+1/2,z+1/2'
loop_
_atom_site_label
_atom_site_type_symbol
_atom_site_fract_x
_atom_site_fract_y
_atom_site_fract_z
La1 La 0.1808 0.1587 0.0733
Y1 Y 0.0785 0.5719 0.8274
Y2 Y 0.3040 0.6635 0.1993
Y3 Y 0.4562 0.2488 0.9424
Ru1 Ru 0.2319 0.5572 0.3997

***

# Sm4B3SbRh12 PBE-GGA optimized geometry
# ΔE_f (raw), eV per atom: -0.58
data_Sm4B3SbRh12
_cell_length_a 8.7698
_cell_length_b 8.7698
_cell_length_c 8.7698
_cell_angle_alpha 90.00
_cell_angle_beta 90.00
_cell_angle_gamma 90.00
_space_group_name_H-M_alt 'I m -3 m'
_space_group_IT_number 229
_space_group_name_Hall '-I 4 2 3'
loop_
_atom_site_label
_atom_site_type_symbol
_atom_site_fract_x
_atom_site_fract_y
_atom_site_fract_z
Sm1 Sm 0.2500 0.2500 0.2500
B1 B 0.0000 0.0000 0.5000
Sb1 Sb 0.0000 0.0000 0.0000
Rh1 Rh 0.0000 0.0000 0.2778
Rh2 Rh 0.0000 0.2500 0.5000

***

# AcCuRh2 PBE-GGA optimized geometry
# Calculated formation energy, eV/atom: -0.337
data_AcCuRh2
_cell_length_a 4.4670
_cell_length_b 4.4670
_cell_length_c 10.0281
_cell_angle_alpha 90.00
_cell_angle_beta 90.00
_cell_angle_gamma 120.00
_space_group_name_H-M_alt 'P 63/m m c'
_space_group_IT_number 194
_space_group_name_Hall '-P 6c 2c'
loop_
_atom_site_label
_atom_site_type_symbol
_atom_site_fract_x
_atom_site_fract_y
_atom_site_fract_z
Ac1 Ac 0.3333 0.6667 0.2500
Cu1 Cu 0.0000 0.0000 0.0000
Rh1 Rh 0.3333 0.6667 0.5323

***

# Co2CuNi PBE-GGA optimized geometry
# Polymorph energy (0 for the lowest one), meV/atom: 84.2
# Calculated formation energy, eV/atom: 0.104
data_Co2CuNi
_cell_length_a 3.4874
_cell_length_b 3.4874
_cell_length_c 7.3496
_cell_angle_alpha 90.00
_cell_angle_beta 90.00
_cell_angle_gamma 90.00
_space_group_name_H-M_alt 'I 4/m m m'
_space_group_IT_number 139
_space_group_name_Hall '-I 4 2'
loop_
_atom_site_label
_atom_site_type_symbol
_atom_site_fract_x
_atom_site_fract_y
_atom_site_fract_z
Co1 Co 0.0000 0.5000 0.2500
Cu1 Cu 0.0000 0.0000 0.0000
Ni1 Ni 0.0000 0.0000 0.5000

***

# Mg2Mn3 PBE-GGA optimized geometry
# Polymorph energy (0 for the lowest one), meV/atom: 0.0
# Calculated formation energy, eV/atom: 0.396
data_Mg2Mn3
_cell_length_a 9.5205
_cell_length_b 13.3839
_cell_length_c 5.2321
_cell_angle_alpha 90.00
_cell_angle_beta 90.00
_cell_angle_gamma 90.00
_space_group_name_H-M_alt 'F d d 2'
_space_group_IT_number 43
_space_group_name_Hall 'F 2 -2d'
loop_
_atom_site_label
_atom_site_type_symbol
_atom_site_fract_x
_atom_site_fract_y
_atom_site_fract_z
Mg1 Mg 0.0344 0.1989 0.0000
Mn1 Mn 0.0000 0.0000 0.0764
Mn2 Mn 0.0449 0.0984 0.5227

***

# TaAg3P PBE-GGA optimized geometry
# Polymorph energy (0 for the lowest one), meV/atom: 0.0
# Calculated formation energy, eV/atom: 1.088
data_TaAg3P
_cell_length_a 4.6311
_cell_length_b 4.6311
_cell_length_c 4.6311
_cell_angle_alpha 90.00
_cell_angle_beta 90.00
_cell_angle_gamma 90.00
_space_group_name_H-M_alt 'P m -3 m'
_space_group_IT_number 221
_space_group_name_Hall '-P 4 2 3'
loop_
_atom_site_label
_atom_site_type_symbol
_atom_site_fract_x
_atom_site_fract_y
_atom_site_fract_z
Ta1 Ta 0.0000 0.0000 0.0000
Ag1 Ag 0.0000 0.5000 0.5000
P1 P 0.5000 0.5000 0.5000

***

# HfReN2 PBE-GGA optimized geometry
# Polymorph energy (0 for the lowest one), meV/atom: 19.3
# ΔE_f (raw), eV per atom: -0.49
data_HfReN2
_cell_length_a 4.5365
_cell_length_b 4.5365
_cell_length_c 10.4088
_cell_angle_alpha 90.00
_cell_angle_beta 90.00
_cell_angle_gamma 90.00
_space_group_name_H-M_alt 'I -4 2 d'
_space_group_IT_number 122
_space_group_name_Hall 'I -4 2bw'
loop_
_atom_site_label
_atom_site_type_symbol
_atom_site_fract_x
_atom_site_fract_y
_atom_site_fract_z
Hf1 Hf 0.0000 0.0000 0.0000
Re1 Re 0.0000 0.0000 0.5000
N1 N 0.2197 0.2500 0.6250

***

# Ac3Tl2InPd8 PBE-GGA optimized geometry
# Calculated formation energy, eV/atom: -0.538
data_Ac3Tl2InPd8
_cell_length_a 5.7374
_cell_length_b 5.7374
_cell_length_c 11.0723
_cell_angle_alpha 90.00
_cell_angle_beta 90.00
_cell_angle_gamma 120.00
_space_group_name_H-M_alt 'P -3 m 1'
_space_group_IT_number 164
_space_group_name_Hall '-P 3 2"'
loop_
_atom_site_label
_atom_site_type_symbol
_atom_site_fract_x
_atom_site_fract_y
_atom_site_fract_z
Ac1 Ac 0.0000 0.0000 0.0000
Ac2 Ac 0.3333 0.6667 0.5915
Tl1 Tl 0.3333 0.6667 0.0994
In1 In 0.0000 0.0000 0.5000
Pd1 Pd 0.1659 0.3319 0.2993
Pd2 Pd 0.3333 0.6667 0.8548

***

# Li2DyTc2N4 PBE-GGA optimized geometry
# ΔE_f (raw), eV per atom: -0.48
data_Li2DyTc2N4
_cell_length_a 10.4469
_cell_length_b 3.2770
_cell_length_c 8.0462
_cell_angle_alpha 90.00
_cell_angle_beta 120.92
_cell_angle_gamma 90.00
_space_group_name_H-M_alt 'C 1 2/m 1'
_space_group_IT_number 12
loop_
_space_group_symop_operation_xyz
'x,y,z'
'-x,-y,-z'
'-x,y,-z'
'x,-y,z'
'x+1/2,y+1/2,z'
'-x+1/2,-y+1/2,-z'
'-x+1/2,y+1/2,-z'
'x+1/2,-y+1/2,z'
loop_
_atom_site_label
_atom_site_type_symbol
_atom_site_fract_x
_atom_site_fract_y
_atom_site_fract_z
Li1 Li 0.1545 0.0000 0.2565
Dy1 Dy 0.0000 0.0000 0.5000
Tc1 Tc 0.1439 0.5000 0.8850
N1 N 0.0528 0.5000 0.3310
N2 N 0.2242 0.0000 0.8139

***

# YHfSi2I PBE-GGA optimized geometry
# ΔE_f (raw), eV per atom: 1.23
data_YHfSi2I
_cell_length_a 5.2705
_cell_length_b 5.2705
_cell_length_c 5.7351
_cell_angle_alpha 90.00
_cell_angle_beta 90.00
_cell_angle_gamma 90.00
_space_group_name_H-M_alt 'P 4/m m m'
_space_group_IT_number 123
_space_group_name_Hall '-P 4 2'
loop_
_atom_site_label
_atom_site_type_symbol
_atom_site_fract_x
_atom_site_fract_y
_atom_site_fract_z
Y1 Y 0.0000 0.0000 0.0000
Hf1 Hf 0.0000 0.0000 0.5000
Si1 Si 0.0000 0.5000 0.0000
I1 I 0.5000 0.5000 0.5000